# 1
# CoP2Os

A crystal of CoP2Os relaxed with PBEsol (SCAN, Alexandria).

excess energy over the best structure of this formula in the dataset: 220 meV/atom
DFT formation energy: 110 meV per atom
total magnetic moment: 0.20 μB per atom

Cell lengths 2.774, 2.774, 7.155 Å; angles 90.00, 90.00, 90.00 degrees
Fractional coordinates of all 4 atoms:
Co (0.000, 0.000, 0.000)
P (0.000, 0.000, 0.453)
P (0.500, 0.500, 0.835)
Os (0.500, 0.500, 0.258)

***

# 2
# CoP2Os

A crystal of CoP2Os relaxed with PBEsol (SCAN, Alexandria).

excess energy over the best structure of this formula in the dataset: 0 meV/atom
DFT formation energy: -110 meV per atom
total magnetic moment: 0.00 μB per atom

Cell lengths 6.215, 6.215, 6.215 Å; angles 132.34, 132.34, 69.70 degrees
Fractional coordinates of all 8 atoms:
Co (0.000, 0.000, 0.000)
Co (0.750, 0.250, 0.500)
P (0.106, 0.625, 0.981)
P (0.375, 0.356, 0.481)
P (0.644, 0.125, 0.019)
P (0.875, 0.894, 0.519)
Os (0.250, 0.750, 0.500)
Os (0.500, 0.500, 0.000)

***

# 3
# CoOs2Pb

A crystal of CoOs2Pb relaxed with PBEsol (SCAN, Alexandria).

DFT formation energy: 715 meV per atom
total magnetic moment: 0.34 μB per atom

Cell lengths 2.814, 3.625, 6.138 Å; angles 90.00, 90.00, 90.00 degrees
Fractional coordinates of all 4 atoms:
Co (0.000, 0.000, 0.000)
Os (0.000, 0.000, 0.408)
Os (0.500, 0.500, 0.208)
Pb (0.500, 0.500, 0.734)

***

# 4
# Co2OsPb

A crystal of Co2OsPb relaxed with PBEsol (SCAN, Alexandria).

DFT formation energy: 777 meV per atom
total magnetic moment: 0.93 μB per atom

Cell lengths 4.390, 4.390, 4.958 Å; angles 99.61, 99.61, 39.29 degrees
Fractional coordinates of all 4 atoms:
Co (0.238, 0.238, 0.187)
Co (0.762, 0.762, 0.813)
Os (0.500, 0.500, 0.000)
Pb (0.000, 0.000, 0.500)

***

# 5
# CoOs2Pb

A crystal of CoOs2Pb relaxed with PBEsol (SCAN, Alexandria).

DFT formation energy: 1008 meV per atom
total magnetic moment: 0.59 μB per atom

Cell lengths 9.029, 9.029, 9.029 Å; angles 18.16, 18.16, 18.16 degrees
Fractional coordinates of all 4 atoms:
Co (0.000, 0.000, 0.000)
Os (0.262, 0.262, 0.262)
Os (0.738, 0.738, 0.738)
Pb (0.500, 0.500, 0.500)

***

# 6
# CoOsPb2

A crystal of CoOsPb2 relaxed with PBEsol (SCAN, Alexandria).

excess energy over the best structure of this formula in the dataset: 531 meV/atom
DFT formation energy: 1070 meV per atom
total magnetic moment: 0.38 μB per atom

Cell lengths 5.496, 5.496, 5.496 Å; angles 138.60, 138.60, 59.99 degrees
Fractional coordinates of all 4 atoms:
Co (0.000, 0.000, 0.000)
Os (0.750, 0.250, 0.500)
Pb (0.250, 0.750, 0.500)
Pb (0.500, 0.500, 0.000)

***

# 7
# CoOs2Pb

A crystal of CoOs2Pb relaxed with PBEsol (SCAN, Alexandria).

DFT formation energy: 928 meV per atom
total magnetic moment: 0.01 μB per atom

Cell lengths 2.989, 2.989, 6.879 Å; angles 90.00, 90.00, 90.00 degrees
Fractional coordinates of all 4 atoms:
Co (0.000, 0.000, 0.000)
Os (0.500, 0.500, 0.193)
Os (0.500, 0.500, 0.807)
Pb (0.000, 0.000, 0.500)

***

# 8
# CoOsPb2

A crystal of CoOsPb2 relaxed with PBEsol (SCAN, Alexandria).

excess energy over the best structure of this formula in the dataset: 0 meV/atom
DFT formation energy: 540 meV per atom
total magnetic moment: 0.45 μB per atom

Cell lengths 3.076, 3.076, 8.362 Å; angles 90.00, 90.00, 90.00 degrees
Fractional coordinates of all 4 atoms:
Co (0.000, 0.000, 0.000)
Os (0.500, 0.500, 0.141)
Pb (0.000, 0.000, 0.389)
Pb (0.500, 0.500, 0.775)

***

# 9
# Co2OsPd

A crystal of Co2OsPd relaxed with PBEsol (SCAN, Alexandria).

DFT formation energy: 305 meV per atom
total magnetic moment: 1.35 μB per atom

Cell lengths 4.110, 4.110, 4.110 Å; angles 60.00, 60.00, 60.00 degrees
Fractional coordinates of all 4 atoms:
Co (0.250, 0.250, 0.250)
Co (0.750, 0.750, 0.750)
Os (0.000, 0.000, 0.000)
Pd (0.500, 0.500, 0.500)

***

# 10
# ZnCoOsPd2

A crystal of ZnCoOsPd2 relaxed with PBEsol (SCAN, Alexandria).

DFT formation energy: 1449 meV per atom
total magnetic moment: 0.87 μB per atom

Cell lengths 4.404, 4.404, 4.552 Å; angles 90.00, 90.00, 90.00 degrees
Fractional coordinates of all 5 atoms:
Zn (0.000, 0.000, 0.000)
Co (0.500, 0.500, 0.500)
Os (0.000, 0.000, 0.500)
Pd (0.000, 0.500, 0.000)
Pd (0.500, 0.000, 0.000)

***

# 11
# CoOsPt2

A crystal of CoOsPt2 relaxed with PBEsol (SCAN, Alexandria).

excess energy over the best structure of this formula in the dataset: 52 meV/atom
DFT formation energy: 123 meV per atom
total magnetic moment: 0.84 μB per atom

Cell lengths 3.763, 3.763, 3.839 Å; angles 90.00, 90.00, 90.00 degrees
Fractional coordinates of all 4 atoms:
Co (0.000, 0.000, 0.000)
Os (0.500, 0.500, 0.000)
Pt (0.000, 0.500, 0.500)
Pt (0.500, 0.000, 0.500)

***

# 12
# Co3OsPt

A crystal of Co3OsPt relaxed with PBEsol (SCAN, Alexandria).

DFT formation energy: 1678 meV per atom
total magnetic moment: 0.73 μB per atom

Cell lengths 4.312, 4.312, 4.312 Å; angles 90.00, 90.00, 90.00 degrees
Fractional coordinates of all 5 atoms:
Co (0.000, 0.000, 0.500)
Co (0.000, 0.500, 0.000)
Co (0.500, 0.000, 0.000)
Os (0.000, 0.000, 0.000)
Pt (0.500, 0.500, 0.500)

***

# 13
# CoOs2Pt

A crystal of CoOs2Pt relaxed with PBEsol (SCAN, Alexandria).

DFT formation energy: 271 meV per atom
total magnetic moment: 0.40 μB per atom

Cell lengths 4.644, 4.644, 2.652 Å; angles 90.00, 90.00, 110.79 degrees
Fractional coordinates of all 4 atoms:
Co (0.000, 0.000, 0.000)
Os (0.000, 0.500, 0.500)
Os (0.500, 0.000, 0.500)
Pt (0.500, 0.500, 0.000)

***

# 14
# CoOsPt2

A crystal of CoOsPt2 relaxed with PBEsol (SCAN, Alexandria).

excess energy over the best structure of this formula in the dataset: 0 meV/atom
DFT formation energy: 71 meV per atom
total magnetic moment: 0.36 μB per atom

Cell lengths 2.682, 2.682, 7.522 Å; angles 90.00, 90.00, 90.00 degrees
Fractional coordinates of all 4 atoms:
Co (0.000, 0.000, 0.000)
Os (0.500, 0.500, 0.216)
Pt (0.000, 0.000, 0.478)
Pt (0.500, 0.500, 0.757)

***

# 15
# CoOsPt3

A crystal of CoOsPt3 relaxed with PBEsol (SCAN, Alexandria).

excess energy over the best structure of this formula in the dataset: 0 meV/atom
DFT formation energy: 1639 meV per atom
total magnetic moment: 0.29 μB per atom

Cell lengths 4.377, 4.377, 4.377 Å; angles 90.00, 90.00, 90.00 degrees
Fractional coordinates of all 5 atoms:
Co (0.000, 0.000, 0.000)
Os (0.500, 0.500, 0.500)
Pt (0.000, 0.000, 0.500)
Pt (0.000, 0.500, 0.000)
Pt (0.500, 0.000, 0.000)

***

# 16
# CoOsPt

A crystal of CoOsPt relaxed with PBEsol (SCAN, Alexandria).

excess energy over the best structure of this formula in the dataset: 0 meV/atom
DFT formation energy: 134 meV per atom
total magnetic moment: 0.41 μB per atom

Cell lengths 5.832, 5.832, 5.832 Å; angles 153.63, 153.63, 37.64 degrees
Fractional coordinates of all 3 atoms:
Co (0.000, 0.000, 0.000)
Os (0.647, 0.647, 0.000)
Pt (0.328, 0.328, 0.000)

***

# 17
# CoOsPt

A crystal of CoOsPt relaxed with PBEsol (SCAN, Alexandria).

excess energy over the best structure of this formula in the dataset: 26 meV/atom
DFT formation energy: 160 meV per atom
total magnetic moment: 0.38 μB per atom

Cell lengths 4.581, 4.581, 4.581 Å; angles 146.27, 132.48, 59.53 degrees
Fractional coordinates of all 3 atoms:
Co (0.000, 0.000, 0.000)
Os (0.648, 0.648, 0.000)
Pt (0.325, 0.325, 0.000)

***

# 18
# CoOsPt3

A crystal of CoOsPt3 relaxed with PBEsol (SCAN, Alexandria).

excess energy over the best structure of this formula in the dataset: 7 meV/atom
DFT formation energy: 1646 meV per atom
total magnetic moment: 0.53 μB per atom

Cell lengths 4.735, 4.735, 4.735 Å; angles 90.00, 90.00, 90.00 degrees
Fractional coordinates of all 5 atoms:
Co (0.000, 0.000, 0.000)
Os (0.500, 0.500, 0.500)
Pt (0.000, 0.500, 0.500)
Pt (0.500, 0.000, 0.500)
Pt (0.500, 0.500, 0.000)

***

# 19
# ZnCoOsPt2

A crystal of ZnCoOsPt2 relaxed with PBEsol (SCAN, Alexandria).

DFT formation energy: 1336 meV per atom
total magnetic moment: 0.80 μB per atom

Cell lengths 4.421, 4.421, 4.202 Å; angles 90.00, 90.00, 90.00 degrees
Fractional coordinates of all 5 atoms:
Zn (0.000, 0.000, 0.000)
Co (0.000, 0.000, 0.500)
Os (0.500, 0.500, 0.000)
Pt (0.000, 0.500, 0.500)
Pt (0.500, 0.000, 0.500)

***

# 20
# RbCo2TcOs

A crystal of RbCo2TcOs relaxed with PBEsol (SCAN, Alexandria).

DFT formation energy: 1602 meV per atom
total magnetic moment: 0.40 μB per atom

Cell lengths 4.587, 4.587, 4.652 Å; angles 90.00, 90.00, 90.00 degrees
Fractional coordinates of all 5 atoms:
Rb (0.000, 0.000, 0.000)
Co (0.000, 0.500, 0.500)
Co (0.500, 0.000, 0.500)
Tc (0.500, 0.500, 0.500)
Os (0.500, 0.500, 0.000)

***

# 21
# CoRe2Os

A crystal of CoRe2Os relaxed with PBEsol (SCAN, Alexandria).

excess energy over the best structure of this formula in the dataset: 178 meV/atom
DFT formation energy: 177 meV per atom
total magnetic moment: 0.00 μB per atom

Cell lengths 2.684, 2.684, 7.429 Å; angles 90.00, 90.00, 90.00 degrees
Fractional coordinates of all 4 atoms:
Co (0.000, 0.000, 0.000)
Re (0.000, 0.000, 0.496)
Re (0.500, 0.500, 0.775)
Os (0.500, 0.500, 0.246)

***

# 22
# Co2ReOs

A crystal of Co2ReOs relaxed with PBEsol (SCAN, Alexandria).

excess energy over the best structure of this formula in the dataset: 93 meV/atom
DFT formation energy: 215 meV per atom
total magnetic moment: 0.55 μB per atom

Cell lengths 4.463, 4.463, 2.585 Å; angles 90.00, 90.00, 109.29 degrees
Fractional coordinates of all 4 atoms:
Co (0.000, 0.500, 0.000)
Co (0.500, 0.000, 0.000)
Re (0.000, 0.000, 0.500)
Os (0.500, 0.500, 0.500)

***

# 23
# Co2ReOs

A crystal of Co2ReOs relaxed with PBEsol (SCAN, Alexandria).

excess energy over the best structure of this formula in the dataset: 71 meV/atom
DFT formation energy: 193 meV per atom
total magnetic moment: 0.55 μB per atom

Cell lengths 4.466, 4.466, 4.466 Å; angles 131.71, 131.71, 70.69 degrees
Fractional coordinates of all 4 atoms:
Co (0.250, 0.750, 0.500)
Co (0.750, 0.250, 0.500)
Re (0.000, 0.000, 0.000)
Os (0.500, 0.500, 0.000)

***

# 24
# CoRe2Os

A crystal of CoRe2Os relaxed with PBEsol (SCAN, Alexandria).

excess energy over the best structure of this formula in the dataset: 86 meV/atom
DFT formation energy: 85 meV per atom
total magnetic moment: 0.00 μB per atom

Cell lengths 4.599, 4.599, 4.599 Å; angles 131.58, 131.58, 70.90 degrees
Fractional coordinates of all 4 atoms:
Co (0.000, 0.000, 0.000)
Re (0.250, 0.750, 0.500)
Re (0.750, 0.250, 0.500)
Os (0.500, 0.500, 0.000)

***

# 25
# Co2ReOs

A crystal of Co2ReOs relaxed with PBEsol (SCAN, Alexandria).

excess energy over the best structure of this formula in the dataset: 95 meV/atom
DFT formation energy: 217 meV per atom
total magnetic moment: 0.87 μB per atom

Cell lengths 2.955, 2.955, 5.638 Å; angles 90.00, 90.00, 90.00 degrees
Fractional coordinates of all 4 atoms:
Co (0.000, 0.000, 0.000)
Co (0.500, 0.500, 0.179)
Re (0.500, 0.500, 0.736)
Os (0.000, 0.000, 0.449)

***

# 26
# Co2ReOs

A crystal of Co2ReOs relaxed with PBEsol (SCAN, Alexandria).

excess energy over the best structure of this formula in the dataset: 45 meV/atom
DFT formation energy: 167 meV per atom
total magnetic moment: 0.07 μB per atom

Cell lengths 3.947, 4.902, 4.902 Å; angles 30.49, 90.00, 90.00 degrees
Fractional coordinates of all 4 atoms:
Co (0.000, 0.000, 0.000)
Co (0.500, 0.131, 0.131)
Re (0.500, 0.395, 0.395)
Os (0.000, 0.732, 0.732)

***

# 27
# Co2ReOs

A crystal of Co2ReOs relaxed with PBEsol (SCAN, Alexandria).

excess energy over the best structure of this formula in the dataset: 0 meV/atom
DFT formation energy: 122 meV per atom
total magnetic moment: 0.62 μB per atom

Cell lengths 4.470, 4.470, 4.470 Å; angles 131.63, 131.63, 70.82 degrees
Fractional coordinates of all 4 atoms:
Co (0.000, 0.000, 0.000)
Co (0.750, 0.250, 0.500)
Re (0.500, 0.500, 0.000)
Os (0.250, 0.750, 0.500)

***

# 28
# CoReOs

A crystal of CoReOs relaxed with PBEsol (SCAN, Alexandria).

excess energy over the best structure of this formula in the dataset: 0 meV/atom
DFT formation energy: 553 meV per atom
total magnetic moment: 0.13 μB per atom

Cell lengths 4.034, 4.034, 4.034 Å; angles 60.00, 60.00, 60.00 degrees
Fractional coordinates of all 3 atoms:
Co (0.000, 0.000, 0.000)
Re (0.250, 0.250, 0.250)
Os (0.500, 0.500, 0.500)

***

# 29
# CoReOs

A crystal of CoReOs relaxed with PBEsol (SCAN, Alexandria).

excess energy over the best structure of this formula in the dataset: 245 meV/atom
DFT formation energy: 798 meV per atom
total magnetic moment: 0.52 μB per atom

Cell lengths 3.948, 3.948, 3.948 Å; angles 60.00, 60.00, 60.00 degrees
Fractional coordinates of all 3 atoms:
Co (0.000, 0.000, 0.000)
Re (0.250, 0.250, 0.250)
Os (0.750, 0.750, 0.750)

***

# 30
# CoRe2Os

A crystal of CoRe2Os relaxed with PBEsol (SCAN, Alexandria).

excess energy over the best structure of this formula in the dataset: 0 meV/atom
DFT formation energy: -2 meV per atom
total magnetic moment: 0.00 μB per atom

Cell lengths 2.702, 4.251, 4.648 Å; angles 90.00, 90.00, 90.00 degrees
Fractional coordinates of all 4 atoms:
Co (0.000, 0.000, 0.000)
Re (0.500, 0.000, 0.486)
Re (0.500, 0.500, 0.146)
Os (0.000, 0.500, 0.663)